NdTmSe2O after structural relaxation. Source: the Alexandria database, functional PBE.

ΔE_f (raw) = -54.70 kcal/mol of atoms
Magnetization = 0.000 μB per atom
V = 23.50 Å³ per atom

Cell lengths 4.028, 4.028, 14.484 Å; angles 90.00, 90.00, 90.00 degrees
Fractional positions:
Nd 0.500 0.000 0.583
Nd 0.000 0.500 0.417
Tm 0.500 0.000 0.122
Tm 0.000 0.500 0.878
Se 0.000 0.500 0.699
Se 0.000 0.500 0.089
Se 0.500 0.000 0.911
Se 0.500 0.000 0.301
O 0.000 0.000 0.500
O 0.500 0.500 0.500



LiIr2Br after structural relaxation. Source: the Alexandria database, functional PBE.

ΔE_f (raw) = 15.77 kcal/mol of atoms
Magnetization = 0.000 μB per atom
V = 15.51 Å³ per atom

Cell lengths 2.904, 3.904, 5.471 Å; angles 90.00, 90.00, 90.00 degrees
Fractional positions:
Br 0.500 0.500 0.750
Ir 0.000 0.000 0.022
Ir 0.000 0.000 0.478
Li 0.500 0.500 0.250